{"formula": "HgPd2Pt2", "functional": "GGA-PBE", "state": "optimized geometry", "lattice_angstrom": [[-1.605, -4.176, -6.402], [7.373, -2.572, -0.171], [-0.736, -2.218, 1.632]], "species": ["Pd", "Pd", "Pd", "Pd", "Pt", "Pt", "Pt", "Pt", "Hg", "Hg"], "frac_coords": [[0.824, 0.324, 0.500], [0.324, 0.176, 0.500], [0.676, 0.824, 0.500], [0.176, 0.676, 0.500], [0.624, 0.124, 0.000], [0.876, 0.624, 0.000], [0.124, 0.376, 0.000], [0.376, 0.876, 0.000], [0.500, 0.500, 0.000], [0.000, 0.000, 0.000]], "de_polymorph_ev_per_fu": 0.00}

=====

{"formula": "LiZrSb2Pb", "functional": "GGA-PBE", "state": "optimized geometry", "lattice_angstrom": [[-3.458, 1.152, 4.160], [-3.516, -3.570, -1.934], [2.350, -3.968, 3.052]], "species": ["Pb", "Sb", "Sb", "Li", "Zr"], "frac_coords": [[0.500, 0.500, 0.500], [0.000, 0.000, 0.500], [0.500, 0.000, 0.000], [0.000, 0.500, 0.000], [0.000, 0.000, 0.000]], "e_form_raw_mev_per_atom": 323}

=====

{"formula": "KScHg2", "functional": "GGA-PBE", "state": "optimized geometry", "lattice_angstrom": [[-4.275, 4.766, -7.277], [-6.848, 5.184, -4.492], [-3.861, 7.547, -4.699]], "species": ["Hg", "Hg", "Sc", "K"], "frac_coords": [[0.484, 0.484, 0.484], [0.016, 0.016, 0.016], [0.750, 0.750, 0.750], [0.250, 0.250, 0.250]], "de_polymorph_ev_per_fu": 0.46}

=====

{"formula": "CdIr3", "functional": "GGA-PBE", "state": "optimized geometry", "lattice_angstrom": [[-2.186, -0.990, 3.790], [2.245, -0.298, 3.872], [-0.548, 3.138, 3.158]], "species": ["Ir", "Ir", "Ir", "Cd"], "frac_coords": [[0.500, 0.500, 0.500], [0.750, 0.750, 0.750], [0.250, 0.250, 0.250], [0.000, 0.000, 0.000]], "final_energy_ev_per_atom": -6.34}

=====

{"formula": "SnHOs", "functional": "GGA-PBE", "state": "optimized geometry", "lattice_angstrom": [[6.012, 0.000, -0.007], [0.000, 3.299, 0.000], [-6.017, 0.000, 8.090]], "species": ["Sn", "Sn", "Sn", "Sn", "Os", "Os", "Os", "Os", "H", "H", "H", "H"], "frac_coords": [[0.217, 0.500, 0.717], [0.217, 0.000, 0.217], [0.783, 0.000, 0.783], [0.783, 0.500, 0.283], [0.245, 0.500, 0.000], [0.755, 0.000, 0.500], [0.755, 0.500, 0.000], [0.245, 0.000, 0.500], [0.351, 0.000, 0.999], [0.649, 0.000, 0.001], [0.649, 0.500, 0.501], [0.351, 0.500, 0.499]], "de_polymorph_ev_per_fu": 0.02}

=====

{"formula": "Cs2GeH3", "functional": "GGA-PBE", "state": "optimized geometry", "lattice_angstrom": [[-0.580, 2.586, 8.284], [-0.686, 7.806, 2.374], [-6.963, 1.845, 3.209]], "species": ["H", "H", "H", "H", "H", "H", "Cs", "Cs", "Cs", "Cs", "Ge", "Ge"], "frac_coords": [[0.956, 0.731, 0.269], [0.731, 0.956, 0.044], [0.269, 0.044, 0.956], [0.346, 0.346, 0.654], [0.044, 0.269, 0.731], [0.654, 0.654, 0.346], [0.245, 0.755, 0.755], [0.750, 0.750, 0.750], [0.250, 0.250, 0.250], [0.755, 0.245, 0.245], [0.777, 0.777, 0.223], [0.223, 0.223, 0.777]], "final_energy_ev_per_atom": -2.61}

=====

{"formula": "ReTc2P", "functional": "GGA-PBE", "state": "optimized geometry", "lattice_angstrom": [[-0.564, 0.000, 2.715], [0.474, -2.492, -1.122], [8.029, 0.775, 1.669]], "species": ["Re", "P", "Tc", "Tc"], "frac_coords": [[0.500, 0.500, 0.000], [0.500, 0.500, 0.500], [0.000, 0.000, 0.724], [0.000, 0.000, 0.276]], "final_energy_ev_per_atom": -9.43}

=====

{"formula": "Cs2Te2S", "functional": "GGA-PBE", "state": "optimized geometry", "lattice_angstrom": [[8.229, 0.000, 0.000], [0.000, 8.229, 0.000], [0.000, 0.000, 5.863]], "species": ["Cs", "Cs", "Cs", "Cs", "Te", "Te", "Te", "Te", "S", "S"], "frac_coords": [[0.317, 0.817, 0.500], [0.683, 0.183, 0.500], [0.817, 0.683, 0.500], [0.183, 0.317, 0.500], [0.880, 0.380, 0.000], [0.380, 0.120, 0.000], [0.120, 0.620, 0.000], [0.620, 0.880, 0.000], [0.000, 0.000, 0.000], [0.500, 0.500, 0.000]], "e_form_raw_mev_per_atom": -516, "de_polymorph_ev_per_fu": 0.25}

=====

{"formula": "SnMo2S", "functional": "GGA-PBE", "state": "optimized geometry", "lattice_angstrom": [[0.263, 0.386, 4.500], [-3.084, -2.014, 2.627], [1.159, -3.579, 2.513]], "species": ["S", "Sn", "Mo", "Mo"], "frac_coords": [[0.000, 0.000, 0.000], [0.500, 0.500, 0.500], [0.250, 0.250, 0.250], [0.750, 0.750, 0.750]], "e_form_raw_mev_per_atom": 407, "de_polymorph_ev_per_fu": 0.00}

=====

{"formula": "NdScZn2", "functional": "GGA-PBE", "state": "optimized geometry", "lattice_angstrom": [[4.998, 0.000, 0.000], [2.499, 4.328, 0.000], [2.499, 1.443, 4.081]], "species": ["Zn", "Zn", "Sc", "Nd"], "frac_coords": [[0.750, 0.750, 0.750], [0.250, 0.250, 0.250], [0.500, 0.500, 0.500], [0.000, 0.000, 0.000]], "de_polymorph_ev_per_fu": 0.05}

=====

{"formula": "HfMgS3", "functional": "GGA-PBE", "state": "optimized geometry", "lattice_angstrom": [[4.914, 0.000, 0.000], [0.000, 4.914, 0.000], [0.000, 0.000, 4.914]], "species": ["S", "S", "S", "Hf", "Mg"], "frac_coords": [[0.500, 0.000, 0.000], [0.000, 0.500, 0.000], [0.000, 0.000, 0.500], [0.000, 0.000, 0.000], [0.500, 0.500, 0.500]], "e_form_raw_mev_per_atom": -833, "de_polymorph_ev_per_fu": 2.77}

=====

{"formula": "Mg2ReMo", "functional": "GGA-PBE", "state": "optimized geometry", "lattice_angstrom": [[4.510, 0.007, 0.000], [0.004, 4.510, 0.000], [-2.257, -2.259, 3.185]], "species": ["Re", "Mg", "Mg", "Mo"], "frac_coords": [[0.750, 0.250, 0.500], [0.000, 0.000, 0.000], [0.250, 0.750, 0.500], [0.500, 0.500, 0.000]], "de_polymorph_ev_per_fu": 0.34}